# Fe2Ir8Os

A relaxed Fe2Ir8Os crystal (PBE, Alexandria via LeMat-Bulk).

Cell and atoms, written as CIF:
```
data_Fe2Ir8Os
_chemical_formula_sum 'Fe4 Ir16 Os2'
_symmetry_space_group_name_H-M 'C m m m'
_symmetry_Int_Tables_number 65
_symmetry_space_group_name_Hall '-C 2 2'
_cell_length_a 7.973
_cell_length_b 10.064
_cell_length_c 4.012
_cell_angle_alpha 90.00
_cell_angle_beta 90.00
_cell_angle_gamma 90.00
loop_
_atom_site_label
_atom_site_fract_x
_atom_site_fract_y
_atom_site_fract_z
Fe1 0.000 0.114 0.000
Ir1 0.000 0.241 0.500
Ir2 0.163 0.000 0.500
Ir3 0.167 0.367 0.000
Os1 0.000 0.500 0.500
```

Values from the calculation:
**Energy of formation**: 0.215 eV/atom
**Size of the total moment**: 8.113 μB per cell
**E**: -193.35 eV per cell

# FeIr9Os2

A relaxed FeIr9Os2 crystal (PBE, Alexandria via LeMat-Bulk).

Cell and atoms, written as CIF:
```
data_FeIr9Os2
_chemical_formula_sum 'Fe1 Ir9 Os2'
_symmetry_space_group_name_H-M 'P 4/m m m'
_symmetry_Int_Tables_number 123
_symmetry_space_group_name_Hall '-P 4 2'
_cell_length_a 3.857
_cell_length_b 3.857
_cell_length_c 11.571
_cell_angle_alpha 90.00
_cell_angle_beta 90.00
_cell_angle_gamma 90.00
loop_
_atom_site_label
_atom_site_fract_x
_atom_site_fract_y
_atom_site_fract_z
Fe1 0.000 0.000 0.000
Ir1 0.000 0.500 0.166
Ir2 0.000 0.500 0.500
Ir3 0.500 0.500 0.000
Ir4 0.500 0.500 0.334
Os1 0.000 0.000 0.329
```

Values from the calculation:
**Energy of formation**: -0.004 eV/atom
**Size of the total moment**: 2.799 μB per cell
**E**: -110.72 eV per cell

# FeIr2Os

A relaxed FeIr2Os crystal (PBE, Alexandria via LeMat-Bulk).

Cell and atoms, written as CIF:
```
data_FeIr2Os
_chemical_formula_sum 'Fe1 Ir2 Os1'
_symmetry_space_group_name_H-M 'P 4 m m'
_symmetry_Int_Tables_number 99
_cell_length_a 2.713
_cell_length_b 2.713
_cell_length_c 7.468
_cell_angle_alpha 90.00
_cell_angle_beta 90.00
_cell_angle_gamma 90.00
loop_
_symmetry_equiv_pos_as_xyz
'x,y,z'
'-y,x,z'
'-x,-y,z'
'y,-x,z'
'-x,y,z'
'y,x,z'
'x,-y,z'
'-y,-x,z'
loop_
_atom_site_label
_atom_site_fract_x
_atom_site_fract_y
_atom_site_fract_z
Fe1 0.000 0.000 0.000
Ir1 0.000 0.000 0.506
Ir2 0.500 0.500 0.238
Os1 0.500 0.500 0.761
```

Values from the calculation:
**Energy of formation**: 0.042 eV/atom
**Size of the total moment**: 1.879 μB per cell
**E**: -37.25 eV per cell

# Fe2Ir2Os

A relaxed Fe2Ir2Os crystal (PBE, Alexandria via LeMat-Bulk).

Cell and atoms, written as CIF:
```
data_Fe2Ir2Os
_chemical_formula_sum 'Fe4 Ir4 Os2'
_symmetry_space_group_name_H-M 'P 4/m b m'
_symmetry_Int_Tables_number 127
_symmetry_space_group_name_Hall '-P 4 2ab'
_cell_length_a 6.981
_cell_length_b 6.981
_cell_length_c 2.720
_cell_angle_alpha 90.00
_cell_angle_beta 90.00
_cell_angle_gamma 90.00
loop_
_atom_site_label
_atom_site_fract_x
_atom_site_fract_y
_atom_site_fract_z
Fe1 0.119 0.381 0.000
Ir1 0.177 0.677 0.500
Os1 0.000 0.000 0.000
```

Values from the calculation:
**Energy of formation**: 0.265 eV/atom
**Size of the total moment**: 5.240 μB per cell
**E**: -89.11 eV per cell

# Fe2Ir6Os

A relaxed Fe2Ir6Os crystal (PBE, Alexandria via LeMat-Bulk).

Cell and atoms, written as CIF:
```
data_Fe2Ir6Os
_chemical_formula_sum 'Fe6 Ir18 Os3'
_symmetry_space_group_name_H-M 'R 3 m'
_symmetry_Int_Tables_number 160
_symmetry_space_group_name_Hall 'R 3 -2"'
_cell_length_a 5.3371
_cell_length_b 5.3371
_cell_length_c 18.4618
_cell_angle_alpha 90.00
_cell_angle_beta 90.00
_cell_angle_gamma 120.00
loop_
_atom_site_label
_atom_site_fract_x
_atom_site_fract_y
_atom_site_fract_z
Fe1 0.0000 0.0000 0.0000
Fe2 0.0000 0.0000 0.2019
Ir1 0.1711 0.3422 0.3212
Ir2 0.1714 0.3427 0.5337
Os1 0.0000 0.0000 0.4247
```

Values from the calculation:
**Energy of formation**: 0.477 eV/atom
**Size of the total moment**: 19.814 μB per cell
**E**: -231.08 eV per cell

# FeIrOs2

A relaxed FeIrOs2 crystal (PBE, Alexandria via LeMat-Bulk).

Cell and atoms, written as CIF:
```
data_FeIrOs2
_chemical_formula_sum 'Fe1 Ir1 Os2'
_symmetry_space_group_name_H-M 'P m m m'
_symmetry_Int_Tables_number 47
_cell_length_a 2.681
_cell_length_b 3.779
_cell_length_c 5.335
_cell_angle_alpha 90.00
_cell_angle_beta 90.00
_cell_angle_gamma 90.00
loop_
_symmetry_equiv_pos_as_xyz
'x,y,z'
'-x,-y,-z'
'-x,-y,z'
'x,y,-z'
'x,-y,-z'
'-x,y,z'
'-x,y,-z'
'x,-y,z'
loop_
_atom_site_label
_atom_site_fract_x
_atom_site_fract_y
_atom_site_fract_z
Fe1 0.000 0.000 0.000
Ir1 0.000 0.000 0.500
Os1 0.500 0.500 0.237
```

Values from the calculation:
**Energy of formation**: 0.101 eV/atom
**Size of the total moment**: 0.026 μB per cell
**E**: -39.38 eV per cell

# FeIr2Os

A relaxed FeIr2Os crystal (PBE, Alexandria via LeMat-Bulk).

Cell and atoms, written as CIF:
```
data_FeIr2Os
_chemical_formula_sum 'Fe4 Ir8 Os4'
_symmetry_space_group_name_H-M 'F m -3 m'
_symmetry_Int_Tables_number 225
_symmetry_space_group_name_Hall '-F 4 2 3'
_cell_length_a 6.077
_cell_length_b 6.077
_cell_length_c 6.077
_cell_angle_alpha 90.00
_cell_angle_beta 90.00
_cell_angle_gamma 90.00
loop_
_atom_site_label
_atom_site_fract_x
_atom_site_fract_y
_atom_site_fract_z
Fe1 0.000 0.000 0.000
Ir1 0.250 0.250 0.250
Os1 0.000 0.000 0.500
```

Values from the calculation:
**Energy of formation**: 0.642 eV/atom
**Size of the total moment**: 0.020 μB per cell
**E**: -139.38 eV per cell

# FeIrOs2

A relaxed FeIrOs2 crystal (PBE, Alexandria via LeMat-Bulk).

Cell and atoms, written as CIF:
```
data_FeIrOs2
_chemical_formula_sum 'Fe2 Ir2 Os4'
_symmetry_space_group_name_H-M 'C m m m'
_symmetry_Int_Tables_number 65
_symmetry_space_group_name_Hall '-C 2 2'
_cell_length_a 5.354
_cell_length_b 7.617
_cell_length_c 2.694
_cell_angle_alpha 90.00
_cell_angle_beta 90.00
_cell_angle_gamma 90.00
loop_
_atom_site_label
_atom_site_fract_x
_atom_site_fract_y
_atom_site_fract_z
Fe1 0.000 0.000 0.000
Ir1 0.000 0.500 0.000
Os1 0.250 0.250 0.500
```

Values from the calculation:
**Energy of formation**: 0.135 eV/atom
**Size of the total moment**: 3.057 μB per cell
**E**: -78.48 eV per cell

# Fe4Ir3Os

A relaxed Fe4Ir3Os crystal (PBE, Alexandria via LeMat-Bulk).

Cell and atoms, written as CIF:
```
data_Fe4Ir3Os
_chemical_formula_sum 'Fe8 Ir6 Os2'
_symmetry_space_group_name_H-M 'I 4/m m m'
_symmetry_Int_Tables_number 139
_symmetry_space_group_name_Hall '-I 4 2'
_cell_length_a 3.776
_cell_length_b 3.776
_cell_length_c 14.582
_cell_angle_alpha 90.00
_cell_angle_beta 90.00
_cell_angle_gamma 90.00
loop_
_atom_site_label
_atom_site_fract_x
_atom_site_fract_y
_atom_site_fract_z
Fe1 0.000 0.500 0.124
Ir1 0.000 0.000 0.000
Ir2 0.000 0.000 0.249
Os1 0.000 0.000 0.500
```

Values from the calculation:
**Energy of formation**: 0.022 eV/atom
**Size of the total moment**: 15.795 μB per cell
**E**: -142.98 eV per cell

# FeIrOs2

A relaxed FeIrOs2 crystal (PBE, Alexandria via LeMat-Bulk).

Cell and atoms, written as CIF:
```
data_FeIrOs2
_chemical_formula_sum 'Fe2 Ir2 Os4'
_symmetry_space_group_name_H-M 'I m m m'
_symmetry_Int_Tables_number 71
_symmetry_space_group_name_Hall '-I 2 2'
_cell_length_a 2.770
_cell_length_b 4.356
_cell_length_c 9.304
_cell_angle_alpha 90.00
_cell_angle_beta 90.00
_cell_angle_gamma 90.00
loop_
_atom_site_label
_atom_site_fract_x
_atom_site_fract_y
_atom_site_fract_z
Fe1 0.000 0.000 0.000
Ir1 0.000 0.000 0.500
Os1 0.000 0.500 0.281
```

Values from the calculation:
**Energy of formation**: 0.312 eV/atom
**Size of the total moment**: 4.679 μB per cell
**E**: -77.07 eV per cell

# Fe14IrOs

A relaxed Fe14IrOs crystal (PBE, Alexandria via LeMat-Bulk).

Cell and atoms, written as CIF:
```
data_Fe14IrOs
_chemical_formula_sum 'Fe28 Ir2 Os2'
_symmetry_space_group_name_H-M 'C m m m'
_symmetry_Int_Tables_number 65
_symmetry_space_group_name_Hall '-C 2 2'
_cell_length_a 5.744
_cell_length_b 8.235
_cell_length_c 8.169
_cell_angle_alpha 90.00
_cell_angle_beta 90.00
_cell_angle_gamma 90.00
loop_
_atom_site_label
_atom_site_fract_x
_atom_site_fract_y
_atom_site_fract_z
Fe1 0.000 0.000 0.000
Fe2 0.000 0.250 0.247
Fe3 0.000 0.500 0.000
Fe4 0.248 0.000 0.242
Fe5 0.250 0.250 0.000
Fe6 0.250 0.250 0.500
Ir1 0.000 0.500 0.500
Os1 0.000 0.000 0.500
```

Values from the calculation:
**Energy of formation**: 0.022 eV/atom
**Size of the total moment**: 69.778 μB per cell
**E**: -276.44 eV per cell

# ScFeIr2Os

A relaxed ScFeIr2Os crystal (PBE, Alexandria via LeMat-Bulk).

Cell and atoms, written as CIF:
```
data_ScFeIr2Os
_chemical_formula_sum 'Sc1 Fe1 Ir2 Os1'
_symmetry_space_group_name_H-M 'P 4/m m m'
_symmetry_Int_Tables_number 123
_symmetry_space_group_name_Hall '-P 4 2'
_cell_length_a 4.392
_cell_length_b 4.392
_cell_length_c 4.452
_cell_angle_alpha 90.00
_cell_angle_beta 90.00
_cell_angle_gamma 90.00
loop_
_atom_site_label
_atom_site_fract_x
_atom_site_fract_y
_atom_site_fract_z
Sc1 0.000 0.000 0.000
Fe1 0.000 0.000 0.500
Ir1 0.000 0.500 0.500
Os1 0.500 0.500 0.000
```

Values from the calculation:
**Energy of formation**: 1.077 eV/atom
**Size of the total moment**: 0.713 μB per cell
**E**: -38.36 eV per cell

# FeIr2OsSe

A relaxed FeIr2OsSe crystal (PBE, Alexandria via LeMat-Bulk).

Cell and atoms, written as CIF:
```
data_FeIr2OsSe
_chemical_formula_sum 'Fe1 Ir2 Os1 Se1'
_symmetry_space_group_name_H-M 'P 4/m m m'
_symmetry_Int_Tables_number 123
_symmetry_space_group_name_Hall '-P 4 2'
_cell_length_a 4.557
_cell_length_b 4.557
_cell_length_c 4.277
_cell_angle_alpha 90.00
_cell_angle_beta 90.00
_cell_angle_gamma 90.00
loop_
_atom_site_label
_atom_site_fract_x
_atom_site_fract_y
_atom_site_fract_z
Fe1 0.000 0.000 0.000
Ir1 0.000 0.500 0.500
Os1 0.500 0.500 0.000
Se1 0.000 0.000 0.500
```

Values from the calculation:
**E_form (uncorrected)**: 1.576 eV per atom
**Size of the total moment**: 5.402 μB per cell
**E**: -33.02 eV per cell